Record 1
Entry from the Alexandria database: a relaxed TlSb crystal (PBE-GGA).

Structure (POSCAR):
```
TlSb
1.0
-3.9502 -3.1934 0.6063
3.5731 -0.9915 -3.5241
3.2148 -3.1874 4.1562
Sb Tl
2 2
Direct
0.0000 0.0000 0.0000 Sb
0.0000 0.0000 0.5000 Sb
0.3333 0.6667 0.2500 Tl
0.6667 0.3333 0.7500 Tl
```

Space group   No. 194
Uncorrected formation energy   0.1267 eV/atom
Raw total energy   -12.47 eV per cell


Record 2
Entry from the Alexandria database: a relaxed TlSb3 crystal (PBE-GGA).

Structure (POSCAR):
```
TlSb3
1.0
-5.1216 -1.6685 -2.5381
-0.5579 -5.9157 0.3868
1.2280 4.1417 4.0982
Sb Tl
3 1
Direct
0.5000 0.5000 0.0000 Sb
0.2500 0.7500 0.5000 Sb
0.7500 0.2500 0.5000 Sb
0.0000 0.0000 0.0000 Tl
```

Space group   No. 139
Uncorrected formation energy   0.2316 eV/atom
Raw total energy   -13.81 eV per cell


Record 3
Entry from the Alexandria database: a relaxed TlSb crystal (PBE-GGA).

Structure (POSCAR):
```
TlSb
1.0
-1.8004 5.7231 3.7079
-5.8735 1.0586 4.0839
1.0688 -0.6869 3.0572
Sb Tl
2 2
Direct
0.9576 0.0895 0.9765 Sb
0.9591 0.4938 0.7735 Sb
0.4799 0.0350 0.2426 Tl
0.4368 0.5484 0.5074 Tl
```

Space group   No. 12
Uncorrected formation energy   0.0397 eV/atom
Raw total energy   -12.82 eV per cell


Record 4
Entry from the Alexandria database: a relaxed Tl8Sb crystal (PBE-GGA).

Structure (POSCAR):
```
Tl8Sb
1.0
-1.4657 -4.4564 -2.0524
4.2851 -5.7519 3.0414
-5.6852 -3.0752 4.3496
Tl Sb
8 1
Direct
0.6632 0.0000 0.6737 Tl
0.6703 0.3297 0.3297 Tl
0.0000 0.3297 0.6703 Tl
0.6632 0.6737 0.0000 Tl
0.3368 0.0000 0.3263 Tl
0.0000 0.6703 0.3297 Tl
0.3368 0.3263 0.0000 Tl
0.3297 0.6703 0.6703 Tl
0.0000 0.0000 0.0000 Sb
```

Space group   No. 139
Uncorrected formation energy   0.0052 eV/atom
Raw total energy   -23.01 eV per cell


Record 5
Entry from the Alexandria database: a relaxed Tl3Sb crystal (PBE-GGA).

Structure (POSCAR):
```
Tl3Sb
1.0
-3.9951 2.3908 -4.8808
0.5112 -6.6979 0.6124
0.6401 3.7029 5.6015
Tl Sb
3 1
Direct
0.5000 0.0000 0.5000 Tl
0.0000 0.5000 0.5000 Tl
0.5000 0.5000 0.0000 Tl
0.0000 0.0000 0.0000 Sb
```

Space group   No. 166
Uncorrected formation energy   0.0337 eV/atom
Raw total energy   -11.09 eV per cell


Record 6
Entry from the Alexandria database: a relaxed TlSb crystal (PBE-GGA).

Structure (POSCAR):
```
TlSb
1.0
4.7974 0.0000 0.0000
2.3987 4.1547 0.0000
2.3987 1.3849 3.9171
Tl Sb
1 1
Direct
0.0000 0.0000 0.0000 Tl
0.7500 0.7500 0.7500 Sb
```

Space group   No. 216
Uncorrected formation energy   0.1306 eV/atom
Raw total energy   -6.23 eV per cell


Record 7
Entry from the Alexandria database: a relaxed Tl12Sb crystal (PBE-GGA).

Structure (POSCAR):
```
Tl12Sb
1.0
7.6630 0.0000 -2.7093
-3.8315 6.6364 -2.7093
0.0000 0.0000 8.1278
Tl Sb
12 1
Direct
0.6863 0.8667 0.1803 Tl
0.4940 0.1803 0.3137 Tl
0.1333 0.8197 0.3137 Tl
0.5060 0.8197 0.6863 Tl
0.1803 0.6863 0.8667 Tl
0.8197 0.6863 0.5060 Tl
0.3137 0.4940 0.1803 Tl
0.3137 0.1333 0.8197 Tl
0.8667 0.1803 0.6863 Tl
0.8197 0.3137 0.1333 Tl
0.6863 0.5060 0.8197 Tl
0.1803 0.3137 0.4940 Tl
0.0000 0.0000 0.0000 Sb
```

Space group   No. 204
Uncorrected formation energy   0.0127 eV/atom
Raw total energy   -32.35 eV per cell


Record 8
Entry from the Alexandria database: a relaxed TlSb5 crystal (PBE-GGA).

Structure (POSCAR):
```
TlSb5
1.0
2.9554 -5.1189 0.0000
2.9554 5.1189 0.0000
0.0000 0.0000 5.5874
Tl Sb
1 5
Direct
0.0000 0.0000 0.5000 Tl
0.0000 0.6443 0.0000 Sb
0.3333 0.6667 0.5000 Sb
0.3557 0.3557 0.0000 Sb
0.6667 0.3333 0.5000 Sb
0.6443 0.0000 0.0000 Sb
```

Space group   No. 189
Uncorrected formation energy   0.2201 eV/atom
Raw total energy   -21.66 eV per cell


Number 1: size of the total moment 0.0 Bohr magnetons per cell. Number 2: size of the total moment 0.0 Bohr magnetons per cell. Number 3: size of the total moment 0.0 Bohr magnetons per cell. Number 4: size of the total moment 0.0 Bohr magnetons per cell. Number 5: size of the total moment 0.0 Bohr magnetons per cell. Number 6: size of the total moment 0.0 Bohr magnetons per cell. Number 7: size of the total moment 0.0 Bohr magnetons per cell. Number 8: size of the total moment 0.0 Bohr magnetons per cell.